First-principles (PBE) data for a geometry-optimized Nd4As2Se structure, as listed in Alexandria via LeMat-Bulk.

Output
Formation energy (no corrections) ... -1227 meV per atom
Magnetic moment ... 0.00 μB/cell
Crystal system ... tetragonal

a = 8.105 Å, b = 8.105 Å, c = 8.105 Å
α = 109.60°, β = 109.60°, γ = 109.22°
Element x y z (fractional)
Nd  0.200  0.257  0.557
Nd  0.200  0.644  0.943
Nd  0.257  0.200  0.057
Nd  0.356  0.800  0.557
Nd  0.644  0.200  0.443
Nd  0.743  0.800  0.943
Nd  0.800  0.356  0.057
Nd  0.800  0.743  0.443
As  0.000  0.500  0.500
As  0.500  0.000  0.000
As  0.500  0.500  0.000
As  0.500  0.500  0.500
Se  0.125  0.875  0.250
Se  0.875  0.125  0.750